Entry 1:
# La2PrAg3, optimized geometry, DFT GGA-PBE
data_La2PrAg3
_cell_length_a 3.7910
_cell_length_b 3.7910
_cell_length_c 11.5552
_cell_angle_alpha 90.00
_cell_angle_beta 90.00
_cell_angle_gamma 90.00
_symmetry_space_group_name_H-M 'P 1'
_symmetry_Int_Tables_number 1
loop_
_symmetry_equiv_pos_as_xyz
'x,y,z'
loop_
_atom_site_label
_atom_site_fract_x
_atom_site_fract_y
_atom_site_fract_z
La1 0.0000 0.0000 0.1677
La2 0.0000 0.0000 0.8323
Pr1 0.0000 0.0000 0.5000
Ag1 0.5000 0.5000 0.0000
Ag2 0.5000 0.5000 0.3374
Ag3 0.5000 0.5000 0.6626
# - Magnetization: 0.0000 μB/atom
# - Density of states at the Fermi level: 5.35 states/eV/f.u.
# - Mass density: 7.423 g/cm³
# - Energy of formation from the pure elements: -0.255 eV/atom
# - Uncorrected energy: -24.7 eV/cell

=====

Entry 2:
# Cs2ZrAuCl6, optimized geometry, DFT GGA-PBE
data_Cs2ZrAuCl6
_cell_length_a 7.7910
_cell_length_b 7.7910
_cell_length_c 7.7910
_cell_angle_alpha 116.89
_cell_angle_beta 116.89
_cell_angle_gamma 95.49
_symmetry_space_group_name_H-M 'P 1'
_symmetry_Int_Tables_number 1
loop_
_symmetry_equiv_pos_as_xyz
'x,y,z'
loop_
_atom_site_label
_atom_site_fract_x
_atom_site_fract_y
_atom_site_fract_z
Cs1 0.2500 0.7500 0.5000
Cs2 0.7500 0.2500 0.5000
Zr1 0.0000 0.0000 0.0000
Au1 0.5000 0.5000 0.0000
Cl1 0.2163 0.2163 0.4326
Cl2 0.2163 0.7837 0.0000
Cl3 0.2403 0.2403 0.0000
Cl4 0.7597 0.7597 0.0000
Cl5 0.7837 0.2163 0.0000
Cl6 0.7837 0.7837 0.5674
# - Raw formation energy: -1502 meV per atom
# - Magnetization: 0.0000 μB/atom
# - Density of states at the Fermi level: 4.10 states/eV/f.u.
# - Mass density: 3.654 g/cm³
# - Uncorrected energy: -39.6 eV/cell